Record 1
The following is a DFT calculation (GGA+U) of a geometry-optimized CdCoTe2O8 structure.

Calculated values
V = 173 Å³/f.u.
E = -121.94 eV for the cell shown

Cell lengths 7.219, 7.219, 6.625 Å; angles 90.00, 90.00, 90.00 degrees
Space group I-4m2 (No. 119)
Symmetry-distinct sites (fractional):
Cd 0.000 0.000 0.000 [2 per cell]
Co 0.000 0.500 0.250 [2 per cell]
Te 0.000 0.000 0.500 [2 per cell]
Te 0.000 0.500 0.750 [2 per cell]
O 0.000 0.197 0.321 [8 per cell]
O 0.000 0.312 0.939 [8 per cell]


Record 2
The following is a DFT calculation (GGA+U) of a geometry-optimized CdCoTeO6 structure.

Calculated values
Fermi-level density of states = 0.351 states/eV per atom
V = 109 Å³/f.u.
E = -94.58 eV for the cell shown

Cell lengths 5.0575, 5.0575, 9.8791 Å; angles 90.00, 90.00, 120.00 degrees
Space group P-31c (No. 163)
Symmetry-distinct sites (fractional):
Cd 0.0000 0.0000 0.0000 [2 per cell]
Co 0.3333 0.6667 0.2500 [2 per cell]
Te 0.3333 0.6667 0.7500 [2 per cell]
O 0.0101 0.3785 0.1412 [12 per cell]


Record 3
The following is a DFT calculation (GGA+U) of a geometry-optimized CdCo2TeO6 structure.

Calculated values
Fermi-level density of states = 0.243 states/eV per atom
V = 116 Å³/f.u.
E = -160.92 eV for the cell shown

Cell lengths 5.3097, 5.3097, 14.2910 Å; angles 90.00, 90.00, 120.00 degrees
Space group R3 (No. 146, hexagonal axes)
Symmetry-distinct sites (fractional):
Cd 0.0000 0.0000 0.0000 [3 per cell]
Co 0.0000 0.0000 0.2654 [3 per cell]
Co 0.0000 0.0000 0.7876 [3 per cell]
Te 0.0000 0.0000 0.4755 [3 per cell]
O 0.0163 0.6067 0.0494 [9 per cell]
O 0.0239 0.3079 0.8667 [9 per cell]


Record 4
The following is a DFT calculation (GGA+U) of a geometry-optimized TiCd2CoO5 structure.

Calculated values
V = 115 Å³/f.u.
E = -217.36 eV for the cell shown

Cell lengths 3.139, 13.145, 11.145 Å; angles 90.00, 90.00, 90.00 degrees
Space group Cmc2_1 (No. 36)
Symmetry-distinct sites (fractional):
Ti 0.000 0.247 0.000 [4 per cell]
Cd 0.000 0.101 0.696 [4 per cell]
Cd 0.000 0.133 0.239 [4 per cell]
Co 0.000 0.480 0.460 [4 per cell]
O 0.000 0.099 0.013 [4 per cell]
O 0.000 0.247 0.397 [4 per cell]
O 0.000 0.264 0.638 [4 per cell]
O 0.000 0.388 0.040 [4 per cell]
O 0.000 0.494 0.784 [4 per cell]


Record 5
The following is a DFT calculation (GGA+U) of a geometry-optimized Tl2CdCoO4 structure.

Calculated values
Fermi-level density of states = 0.096 states/eV per atom
V = 189 Å³/f.u.
E = -284.18 eV for the cell shown

Cell lengths 6.194, 12.167, 20.089 Å; angles 90.00, 90.00, 90.00 degrees
Space group Fddd (No. 70, origin choice 2)
Symmetry-distinct sites (fractional):
Tl 0.125 0.125 0.295 [16 per cell]
Cd 0.125 0.125 0.125 [8 per cell]
Co 0.125 0.125 0.625 [8 per cell]
O 0.081 0.270 0.878 [32 per cell]


Record 6
The following is a DFT calculation (GGA+U) of a geometry-optimized UCd2CoO6 structure.

Calculated values
V = 129 Å³/f.u.
E = -132.99 eV for the cell shown

Cell lengths 5.546, 5.714, 9.837 Å; angles 90.00, 124.22, 90.00 degrees
Space group P2_1/c (No. 14)
Symmetry-distinct sites (fractional):
U 0.000 0.000 0.000 [2 per cell]
Cd 0.261 0.047 0.751 [4 per cell]
Co 0.500 0.000 0.500 [2 per cell]
O 0.138 0.057 0.250 [4 per cell]
O 0.249 0.696 0.062 [4 per cell]
O 0.366 0.195 0.058 [4 per cell]


Record 7
The following is a DFT calculation (GGA+U) of a geometry-optimized UCdCo2O6 structure.

Calculated values
Fermi-level density of states = 0.507 states/eV per atom
V = 160 Å³/f.u.
E = -65.74 eV for the cell shown

Cell lengths 6.126, 6.126, 4.263 Å; angles 90.00, 90.00, 90.00 degrees
Space group P4mm (No. 99)
Symmetry-distinct sites (fractional):
U 0.000 0.000 0.000 [1 per cell]
Cd 0.500 0.500 0.882 [1 per cell]
Co 0.000 0.500 0.068 [2 per cell]
O 0.000 0.000 0.504 [1 per cell]
O 0.238 0.238 0.014 [4 per cell]
O 0.500 0.500 0.397 [1 per cell]


Record 8
The following is a DFT calculation (GGA+U) of a geometry-optimized UCdCoO6 structure.

Calculated values
Fermi-level density of states = 0.410 states/eV per atom
V = 116 Å³/f.u.
E = -126.25 eV for the cell shown

Cell lengths 5.2425, 5.2425, 9.7302 Å; angles 90.00, 90.00, 120.00 degrees
Space group P-31c (No. 163)
Symmetry-distinct sites (fractional):
U 0.3333 0.6667 0.2500 [2 per cell]
Cd 0.0000 0.0000 0.0000 [2 per cell]
Co 0.3333 0.6667 0.7500 [2 per cell]
O 0.0247 0.3734 0.6404 [12 per cell]


Number 1: magnetic moment 0.25 μB/atom. Number 2: magnetic moment 0.11 μB/atom. Number 3: magnetic moment 0.21 μB/atom. Number 4: magnetic moment 0.33 μB/atom. Number 5: magnetic moment 0.38 μB/atom. Number 6: magnetic moment 0.30 μB/atom. Number 7: magnetic moment 0.60 μB/atom. Number 8: magnetic moment 0.12 μB/atom.